No. 1
{"formula": "Ti4ZnS8", "functional": "GGA-PBE", "state": "optimized geometry", "e_form_raw_ev_per_atom": -1.18, "energy_ev_per_atom": -6.244, "e_above_lowest_polymorph_ev_per_atom": 0.077, "spacegroup": "R-3m, No. 166", "dos_ef_per_ev_atom": 0.559, "lattice": [[6.0399, -3.5163, -0.0012], [6.0399, 3.5163, -0.0012], [3.9939, 0.0000, 5.7352]], "species": ["Zn", "S", "S", "S", "S", "S", "S", "S", "S", "Ti", "Ti", "Ti", "Ti"], "fractional_positions": [[0.0000, 0.0000, 0.0000], [0.7479, 0.2566, 0.7479], [0.2566, 0.7479, 0.7479], [0.2521, 0.7434, 0.2521], [0.2521, 0.2521, 0.7434], [0.2536, 0.2536, 0.2536], [0.7464, 0.7464, 0.7464], [0.7479, 0.7479, 0.2566], [0.7434, 0.2521, 0.2521], [0.5000, 0.5000, 0.0000], [0.5000, 0.5000, 0.5000], [0.5000, 0.0000, 0.5000], [0.0000, 0.5000, 0.5000]]}

=====

No. 2
{"formula": "B3PdCl", "functional": "GGA-PBE", "state": "optimized geometry", "e_form_raw_ev_per_atom": 1.15, "energy_ev_per_atom": -4.266, "e_above_lowest_polymorph_ev_per_atom": 0.000, "spacegroup": "Pm-3m, No. 221", "dos_ef_per_ev_atom": 0.000, "lattice": [[-3.8875, -1.0296, 1.1092], [-0.1542, -2.7721, -3.1137], [1.5056, -2.9425, 2.5452]], "species": ["Pd", "B", "B", "B", "Cl"], "fractional_positions": [[0.0000, 0.0000, 0.0000], [0.0000, 0.0000, 0.5000], [0.5000, 0.0000, 0.0000], [0.0000, 0.5000, 0.0000], [0.5000, 0.5000, 0.5000]]}